Entry 1:
Material: LiCuBMo
Method: DFT, PBE
State: optimized geometry

Geometry as POSCAR:
```
LiCuBMo
1.0
0.0000 2.7684 2.7684
2.7684 0.0000 2.7684
2.7684 2.7684 0.0000
Li Cu B Mo
1 1 1 1
Direct
0.0000 0.0000 0.0000
0.7500 0.7500 0.7500
0.5000 0.5000 0.5000
0.2500 0.2500 0.2500
```

Properties
SG = No. 216
distance to the lowest polymorph of the same formula = 0 meV per atom



Entry 2:
Material: YFeCuSi2
Method: DFT, PBE
State: optimized geometry

Geometry as POSCAR:
```
YFeCuSi2
1.0
-1.9814 1.9814 4.9047
1.9814 -1.9814 4.9047
1.9814 1.9814 -4.9047
Y Fe Cu Si
1 1 1 2
Direct
0.0000 0.0000 0.0000
0.7500 0.2500 0.5000
0.2500 0.7500 0.5000
0.3769 0.3769 0.0000
0.6231 0.6231 0.0000
```

Properties
SG = No. 119



Entry 3:
Material: SrYSi4Os2
Method: DFT, PBE
State: optimized geometry

Geometry as POSCAR:
```
SrYSi4Os2
1.0
4.5313 0.0000 0.0000
0.0000 4.0779 0.0000
-1.7085 0.0000 8.1279
Sr Y Si Os
1 1 4 2
Direct
0.0000 0.0000 0.0000
0.8309 0.5000 0.5971
0.0883 0.5000 0.2992
0.3809 0.0000 0.7111
0.4558 0.5000 0.8941
0.7558 0.0000 0.3149
0.3024 0.0000 0.4223
0.5431 0.5000 0.1939
```

Properties
SG = No. 6



Entry 4:
Material: K3Sc2Ni2
Method: DFT, PBE
State: optimized geometry

Geometry as POSCAR:
```
K3Sc2Ni2
1.0
2.1499 -9.2004 0.0000
2.1499 9.2004 0.0000
0.0000 0.0000 5.7237
K Sc Ni
3 2 2
Direct
0.0000 0.0000 0.0000
0.1821 0.8179 0.0000
0.8179 0.1821 0.0000
0.3891 0.6109 0.5000
0.6109 0.3891 0.5000
0.2676 0.7324 0.5000
0.7324 0.2676 0.5000
```

Properties
SG = No. 65



Entry 5:
Material: UTlPd
Method: DFT, PBE
State: optimized geometry

Geometry as POSCAR:
```
UTlPd
1.0
0.0000 3.4710 3.4710
3.4710 0.0000 3.4710
3.4710 3.4710 0.0000
U Tl Pd
1 1 1
Direct
0.0000 0.0000 0.0000
0.7500 0.7500 0.7500
0.2500 0.2500 0.2500
```

Properties
SG = No. 216



Entry 6:
Material: BaSmW
Method: DFT, PBE
State: optimized geometry

Geometry as POSCAR:
```
BaSmW
1.0
0.0000 3.6928 3.6928
3.6928 0.0000 3.6928
3.6928 3.6928 0.0000
Ba Sm W
1 1 1
Direct
0.0000 0.0000 0.0000
0.2500 0.2500 0.2500
0.5000 0.5000 0.5000
```

Properties
SG = No. 216
distance to the lowest polymorph of the same formula = 0 meV per atom



The records above give, respectively, size of the total moment values of 0.018, 1.658, 0.009, 0.051, 2.756, 2.825 μB/f.u..
The records above give, respectively, volume values of 10.61, 15.40, 18.77, 32.35, 27.88, 33.57 Å³/atom.
The records above give, respectively, VASP energy values of -21.5, -32.2, -57.1, -23.1, -16.9, -14.4 eV/cell.